{"formula": "Ho2AsPPd6", "functional": "PBE", "state": "relaxed", "cell": [[-0.153, -4.962, -2.439], [3.381, -3.263, 6.427], [-7.870, -1.435, 3.411]], "species": ["P", "P", "Ho", "Ho", "Ho", "Ho", "Pd", "Pd", "Pd", "Pd", "Pd", "Pd", "Pd", "Pd", "Pd", "Pd", "Pd", "Pd", "As", "As"], "frac_coords": [[0.500, 0.244, 0.500], [0.000, 0.756, 0.000], [0.500, 0.744, 0.743], [0.500, 0.744, 0.257], [0.000, 0.256, 0.757], [0.000, 0.256, 0.243], [0.250, 0.001, 0.000], [0.000, 0.874, 0.751], [0.748, 0.475, 0.500], [0.250, 0.999, 0.500], [0.248, 0.525, 0.000], [0.252, 0.475, 0.500], [0.750, 0.001, 0.000], [0.752, 0.525, 0.000], [0.000, 0.874, 0.249], [0.500, 0.126, 0.251], [0.750, 0.999, 0.500], [0.500, 0.126, 0.749], [0.500, 0.274, 0.000], [0.000, 0.726, 0.500]], "volume_a3_per_cell": 383, "formation_energy_ev_per_atom": -0.742, "sg": "Pmmn", "n_ef_per_ev_cell": 6.11, "final_energy_ev_per_atom": -5.779, "crystal_system": "orthorhombic"}